No. 1
# PuIn3Rh4, relaxed, DFT GGA-PBE
# * energy relative to the elements: -0.434 eV/atom
data_PuIn3Rh4
_cell_length_a 4.672
_cell_length_b 4.672
_cell_length_c 13.079
_cell_angle_alpha 90.00
_cell_angle_beta 90.00
_cell_angle_gamma 90.00
_symmetry_space_group_name_H-M 'I 4/m m m'
_symmetry_Int_Tables_number 139
_symmetry_space_group_name_Hall '-I 4 2'
loop_
_atom_site_label
_atom_site_type_symbol
_atom_site_fract_x
_atom_site_fract_y
_atom_site_fract_z
_atom_site_occupancy
Pu1 Pu 0.000 0.000 0.000 1
In1 In 0.000 0.000 0.253 1
In2 In 0.000 0.000 0.500 1
Rh1 Rh 0.000 0.500 0.131 1

---

No. 2
# Pu2In3Rh4, relaxed, DFT GGA-PBE
# * energy relative to the elements: -0.389 eV/atom
data_Pu2In3Rh4
_cell_length_a 4.609
_cell_length_b 4.751
_cell_length_c 9.049
_cell_angle_alpha 88.10
_cell_angle_beta 89.89
_cell_angle_gamma 61.06
_symmetry_space_group_name_H-M 'P -1'
_symmetry_Int_Tables_number 2
_symmetry_space_group_name_Hall '-P 1'
loop_
_atom_site_label
_atom_site_type_symbol
_atom_site_fract_x
_atom_site_fract_y
_atom_site_fract_z
_atom_site_occupancy
Pu1 Pu 0.170 0.158 0.214 1
In1 In 0.160 0.182 0.579 1
In2 In 0.500 0.500 0.000 1
Rh1 Rh 0.165 0.170 0.897 1
Rh2 Rh 0.490 0.524 0.664 1

---

No. 3
# PuIn5Rh6, relaxed, DFT GGA-PBE
# * energy relative to the elements: -0.430 eV/atom
data_PuIn5Rh6
_cell_length_a 4.526
_cell_length_b 13.633
_cell_length_c 6.821
_cell_angle_alpha 90.00
_cell_angle_beta 90.00
_cell_angle_gamma 90.00
_symmetry_space_group_name_H-M 'C m m m'
_symmetry_Int_Tables_number 65
_symmetry_space_group_name_Hall '-C 2 2'
loop_
_atom_site_label
_atom_site_type_symbol
_atom_site_fract_x
_atom_site_fract_y
_atom_site_fract_z
_atom_site_occupancy
Pu1 Pu 0.000 0.000 0.000 1
In1 In 0.000 0.000 0.500 1
In2 In 0.000 0.331 0.000 1
In3 In 0.000 0.334 0.500 1
Rh1 Rh 0.000 0.169 0.256 1
Rh2 Rh 0.000 0.500 0.259 1

---

No. 4
# PuIn2Rh3, relaxed, DFT GGA-PBE
# * energy relative to the elements: -0.438 eV/atom
data_PuIn2Rh3
_cell_length_a 4.456
_cell_length_b 13.705
_cell_length_c 3.546
_cell_angle_alpha 90.00
_cell_angle_beta 90.00
_cell_angle_gamma 90.00
_symmetry_space_group_name_H-M 'C m m m'
_symmetry_Int_Tables_number 65
_symmetry_space_group_name_Hall '-C 2 2'
loop_
_atom_site_label
_atom_site_type_symbol
_atom_site_fract_x
_atom_site_fract_y
_atom_site_fract_z
_atom_site_occupancy
Pu1 Pu 0.000 0.000 0.000 1
In1 In 0.000 0.331 0.000 1
Rh1 Rh 0.000 0.169 0.500 1
Rh2 Rh 0.000 0.500 0.500 1

---

No. 5
# Pu3InRh, relaxed, DFT GGA-PBE
# * energy relative to the elements: -0.163 eV/atom
data_Pu3InRh
_cell_length_a 7.277
_cell_length_b 6.497
_cell_length_c 9.556
_cell_angle_alpha 90.00
_cell_angle_beta 106.95
_cell_angle_gamma 90.00
_symmetry_space_group_name_H-M 'P 1 2/c 1'
_symmetry_Int_Tables_number 13
_symmetry_space_group_name_Hall '-P 2yc'
loop_
_atom_site_label
_atom_site_type_symbol
_atom_site_fract_x
_atom_site_fract_y
_atom_site_fract_z
_atom_site_occupancy
Pu1 Pu 0.000 0.233 0.002 1
Pu2 Pu 0.222 0.488 0.791 1
Pu3 Pu 0.353 0.319 0.072 1
In1 In 0.257 0.014 0.310 1
Rh1 Rh 0.395 0.216 0.595 1

---

No. 6
# PuIn5Rh4, relaxed, DFT GGA-PBE
# * energy relative to the elements: -0.377 eV/atom
data_PuIn5Rh4
_cell_length_a 3.222
_cell_length_b 3.222
_cell_length_c 17.924
_cell_angle_alpha 90.00
_cell_angle_beta 90.00
_cell_angle_gamma 90.00
_symmetry_space_group_name_H-M 'P 4/m m m'
_symmetry_Int_Tables_number 123
_symmetry_space_group_name_Hall '-P 4 2'
loop_
_atom_site_label
_atom_site_type_symbol
_atom_site_fract_x
_atom_site_fract_y
_atom_site_fract_z
_atom_site_occupancy
Pu1 Pu 0.000 0.000 0.000 1
In1 In 0.500 0.500 0.134 1
In2 In 0.500 0.500 0.317 1
In3 In 0.500 0.500 0.500 1
Rh1 Rh 0.000 0.000 0.227 1
Rh2 Rh 0.000 0.000 0.409 1

---

No. 7
# Pu2InRh3, relaxed, DFT GGA-PBE
# * energy relative to the elements: -0.430 eV/atom
data_Pu2InRh3
_cell_length_a 4.467
_cell_length_b 14.505
_cell_length_c 3.544
_cell_angle_alpha 90.00
_cell_angle_beta 90.00
_cell_angle_gamma 90.00
_symmetry_space_group_name_H-M 'C m m m'
_symmetry_Int_Tables_number 65
_symmetry_space_group_name_Hall '-C 2 2'
loop_
_atom_site_label
_atom_site_type_symbol
_atom_site_fract_x
_atom_site_fract_y
_atom_site_fract_z
_atom_site_occupancy
Pu1 Pu 0.000 0.166 0.000 1
In1 In 0.000 0.500 0.000 1
Rh1 Rh 0.000 0.000 0.500 1
Rh2 Rh 0.000 0.346 0.500 1

---

No. 8
# Pu11In9Rh4, relaxed, DFT GGA-PBE
# * energy relative to the elements: -0.291 eV/atom
data_Pu11In9Rh4
_cell_length_a 14.526
_cell_length_b 21.737
_cell_length_c 3.702
_cell_angle_alpha 90.00
_cell_angle_beta 90.00
_cell_angle_gamma 90.00
_symmetry_space_group_name_H-M 'C m m m'
_symmetry_Int_Tables_number 65
_symmetry_space_group_name_Hall '-C 2 2'
loop_
_atom_site_label
_atom_site_type_symbol
_atom_site_fract_x
_atom_site_fract_y
_atom_site_fract_z
_atom_site_occupancy
Pu1 Pu 0.000 0.000 0.000 1
Pu2 Pu 0.000 0.150 0.000 1
Pu3 Pu 0.000 0.373 0.000 1
Pu4 Pu 0.186 0.500 0.000 1
Pu5 Pu 0.243 0.175 0.000 1
In1 In 0.000 0.500 0.500 1
In2 In 0.101 0.260 0.500 1
In3 In 0.152 0.071 0.500 1
Rh1 Rh 0.149 0.394 0.500 1